1.
A plane-wave DFT calculation with PBE-GGA was carried out for crystalline AcZn3Cd at its relaxed geometry.

Computed properties:
The calculated volume comes out at 23.1 Å³/atom. For the total energy, the calculation gives -1.95 eV per atom. As for the density of states at the Fermi level: 6.1 states/eV/cell. The calculation puts the polymorph energy (0 for the lowest one) at 0.070 eV/atom. For the formation energy, the calculation gives -178 meV per atom. The total moment is 0.000 μB per cell.

Cell: 6.6354 6.6354 6.0528 Å, 90.00 90.00 120.00°
Space group P6_3/mmc (No. 194)
Asymmetric unit:
Ac 0.3333 0.6667 0.2500
Zn 0.2024 0.4049 0.7500
Cd 0.0000 0.0000 0.0000

---

2.
A plane-wave DFT calculation with PBE-GGA was carried out for crystalline Cs2Ca2Mg at its relaxed geometry.

Computed properties:
The calculated volume comes out at 58.8 Å³/atom. For the total energy, the calculation gives -1.19 eV per atom. As for the density of states at the Fermi level: 12.3 states/eV/cell. For the formation energy, the calculation gives 270 meV per atom. The total moment is 0.000 μB per cell.

Cell: 8.835 8.835 7.537 Å, 90.00 90.00 90.00°
Space group P4/mbm (No. 127)
Asymmetric unit:
Cs 0.181 0.319 0.000
Ca 0.158 0.658 0.500
Mg 0.000 0.000 0.500

---

3.
A plane-wave DFT calculation with PBE-GGA was carried out for crystalline Rb2CaPCl6 at its relaxed geometry.

Computed properties:
The calculated volume comes out at 31.8 Å³/atom. For the total energy, the calculation gives -3.54 eV per atom. The total moment is 2.000 μB per cell. The formation energy without anion corrections is -14.94 eV/f.u.

Cell: 7.265 7.265 12.039 Å, 90.00 90.00 90.00°
Space group I4/mmm (No. 139)
Asymmetric unit:
Rb 0.000 0.500 0.250
Ca 0.000 0.000 0.000
P 0.000 0.000 0.500
Cl 0.000 0.000 0.222
Cl 0.233 0.233 0.500

---

4.
A plane-wave DFT calculation with PBE-GGA was carried out for crystalline Be9Nb2Pt at its relaxed geometry.

Computed properties:
The calculated volume comes out at 10.4 Å³/atom. For the total energy, the calculation gives -5.18 eV per atom. As for the density of states at the Fermi level: 3.7 states/eV/cell. For the formation energy, the calculation gives -207 meV per atom. The total moment is 0.000 μB per cell.

Cell: 4.5240 4.5240 14.0996 Å, 90.00 90.00 120.00°
Space group P6_3/mmc (No. 194)
Asymmetric unit:
Be 0.0000 0.0000 0.0000
Be 0.0000 0.0000 0.2500
Be 0.1665 0.3330 0.1261
Be 0.3333 0.6667 0.2500
Nb 0.3333 0.6667 0.5316
Pt 0.3333 0.6667 0.7500

---

5.
A plane-wave DFT calculation with PBE-GGA was carried out for crystalline MnRe2B at its relaxed geometry.

Computed properties:
The calculated volume comes out at 12.4 Å³/atom. For the total energy, the calculation gives -10.18 eV per atom. As for the density of states at the Fermi level: 5.8 states/eV/cell. For the formation energy, the calculation gives 2 meV per atom. The total moment is 4.169 μB per cell.

Cell: 2.852 4.088 8.538 Å, 90.00 90.00 90.00°
Space group Immm (No. 71)
Asymmetric unit:
Mn 0.000 0.000 0.000
Re 0.000 0.000 0.317
B 0.000 0.500 0.000

---

6.
A plane-wave DFT calculation with PBE-GGA was carried out for crystalline Ac12Bi3Rh5 at its relaxed geometry.

Computed properties:
The calculated volume comes out at 39.7 Å³/atom. For the total energy, the calculation gives -5.36 eV per atom. As for the density of states at the Fermi level: 137.6 states/eV/cell. For the formation energy, the calculation gives -477 meV per atom. The total moment is 0.000 μB per cell.

Cell: 18.522 18.522 18.522 Å, 90.00 90.00 90.00°
Space group Ia-3d (No. 230)
Asymmetric unit:
Ac 0.029 0.055 0.648
Bi 0.000 0.250 0.125
Rh 0.000 0.000 0.000
Rh 0.000 0.250 0.375

---

7.
A plane-wave DFT calculation with PBE-GGA was carried out for crystalline PuCu2Sn at its relaxed geometry.

Computed properties:
The calculated volume comes out at 20.1 Å³/atom. For the total energy, the calculation gives -6.61 eV per atom. As for the density of states at the Fermi level: 39.0 states/eV/cell. For the formation energy, the calculation gives 26 meV per atom. The total moment is 23.417 μB per cell.

Cell: 4.409 13.330 5.459 Å, 90.00 90.00 90.00°
Space group Cmcm (No. 63)
Asymmetric unit:
Pu 0.000 0.217 0.250
Cu 0.000 0.408 0.528
Sn 0.000 0.073 0.750

---

8.
A plane-wave DFT calculation with PBE-GGA was carried out for crystalline AsRh2ClO at its relaxed geometry.

Computed properties:
The calculated volume comes out at 21.3 Å³/atom. For the total energy, the calculation gives -4.20 eV per atom. As for the density of states at the Fermi level: 7.5 states/eV/cell. The total moment is 2.190 μB per cell. The formation energy without anion corrections is 5.16 eV/f.u.

Cell: 4.647 4.647 4.934 Å, 90.00 90.00 90.00°
Space group P4/mmm (No. 123)
Asymmetric unit:
As 0.000 0.000 0.000
Rh 0.000 0.500 0.000
Cl 0.000 0.000 0.500
O 0.500 0.500 0.500

---

9.
A plane-wave DFT calculation with PBE-GGA was carried out for crystalline PuTl2Au2Se4 at its relaxed geometry.

Computed properties:
The calculated volume comes out at 26.8 Å³/atom. For the total energy, the calculation gives -4.96 eV per atom. As for the density of states at the Fermi level: 21.6 states/eV/cell. The total moment is 8.028 μB per cell. The formation energy without anion corrections is -5.07 eV/f.u.

Cell: 15.140 4.189 8.083 Å, 90.00 109.94 90.00°
Space group C2/m (No. 12)
Asymmetric unit:
Pu 0.000 0.000 0.000
Tl 0.135 0.000 0.586
Au 0.177 0.500 0.984
Se 0.007 0.500 0.759
Se 0.196 0.000 0.207

---

10.
A plane-wave DFT calculation with PBE-GGA was carried out for crystalline Y4AlFe at its relaxed geometry.

Computed properties:
The calculated volume comes out at 26.1 Å³/atom. For the total energy, the calculation gives -6.46 eV per atom. As for the density of states at the Fermi level: 27.0 states/eV/cell. The calculation puts the polymorph energy (0 for the lowest one) at 0.000 eV/atom. For the formation energy, the calculation gives -119 meV per atom. The total moment is 0.000 μB per cell.

Cell: 8.567 12.604 6.056 Å, 90.00 106.86 90.00°
Space group C2/c (No. 15)
Asymmetric unit:
Y 0.107 0.165 0.043
Y 0.212 0.421 0.396
Al 0.000 0.374 0.750
Fe 0.000 0.001 0.250

---

11.
A plane-wave DFT calculation with PBE-GGA was carried out for crystalline MgBRuWSe at its relaxed geometry.

Computed properties:
The calculated volume comes out at 16.0 Å³/atom. For the total energy, the calculation gives -6.71 eV per atom. As for the density of states at the Fermi level: 2.4 states/eV/cell. The calculation puts the polymorph energy (0 for the lowest one) at 0.306 eV/atom. The total moment is 0.000 μB per cell. The formation energy without anion corrections is 0.43 eV/f.u.

Cell: 3.266 4.123 6.279 Å, 104.24 101.52 90.33°
Space group P1 (No. 1)
Asymmetric unit:
Mg 0.000 0.000 0.000
B 0.408 0.242 0.740
Ru 0.379 0.709 0.650
W 0.811 0.156 0.498
Se 0.528 0.564 0.257

---

12.
A plane-wave DFT calculation with PBE-GGA was carried out for crystalline AlP4 at its relaxed geometry.

Computed properties:
The calculated volume comes out at 17.6 Å³/atom. For the total energy, the calculation gives -4.57 eV per atom. As for the density of states at the Fermi level: 5.5 states/eV/cell. For the formation energy, the calculation gives 507 meV per atom. The total moment is 0.000 μB per cell.

Cell: 5.609 5.609 5.609 Å, 90.00 90.00 90.00°
Space group Im-3m (No. 229)
Asymmetric unit:
Al 0.000 0.000 0.000
P 0.250 0.250 0.250